Record 1
A plane-wave DFT calculation with PBE was carried out for a geometry-optimized Th2ZnMoN5 structure.

```
Th2ZnMoN5
1.0
-1.9693 -1.7243 -2.0857
0.8420 -4.4940 5.6058
-8.1088 3.9539 4.3877
Th Zn Mo N
4 2 2 10
Direct
0.8688 0.7376 0.7957
0.1227 0.2454 0.7080
0.1312 0.2624 0.2957
0.8773 0.7546 0.2080
0.5093 0.0186 0.9803
0.4907 0.9814 0.4803
0.7923 0.5847 0.5070
0.2077 0.4153 0.0070
0.3568 0.7136 0.0094
0.7034 0.4068 0.8653
0.4992 0.9983 0.7742
0.2878 0.5755 0.6519
0.9271 0.8542 0.5323
0.6432 0.2864 0.5094
0.2966 0.5932 0.3653
0.5008 0.0017 0.2742
0.7122 0.4245 0.1519
0.0729 0.1458 0.0323
```

ΔE_f (raw): -0.87 eV/atom
Total magnetic moment: 0.00 μB per formula unit
DOS(E_F): 2.7 states/eV/cell
Space-group type: Cmc2_1, No. 36



Record 2
A plane-wave DFT calculation with PBE was carried out for a geometry-optimized TiMoN3 structure.

```
TiMoN3
1.0
-6.5457 5.7130 13.5237
-4.7257 1.1374 3.9450
3.5106 -3.9644 -3.3389
Mo N Ti
2 6 2
Direct
0.6863 0.9641 0.0359
0.3137 0.0359 0.9641
0.8820 0.1401 0.8599
0.1180 0.8599 0.1401
0.0158 0.3158 0.6842
0.9842 0.6842 0.3158
0.4675 0.6841 0.3159
0.5325 0.3159 0.6841
0.8291 0.0248 0.9752
0.1709 0.9752 0.0248
```

ΔE_f (raw): -0.56 eV/atom
Total magnetic moment: 0.00 μB per formula unit
DOS(E_F): 2.3 states/eV/cell
Space-group type: C2/m, No. 12